DFT (PBE with a Hubbard U) results for a relaxed structure of Ac2CrHO6.

As for the electronic total energy: -7.18 eV per atom. As for the magnetization: 0.93 μB/f.u. As for the crystal system: monoclinic.

The structure belongs to space group P2_1/c (No. 14); the cell edges are 5.1199, 8.5709 and 7.3149 Å and the angles 90.00°, 117.99° and 90.00°. The distinct sites, in fractional coordinates, are Ac at (0.1122, 0.1814, 0.3823), Cr at (0.5000, 0.0000, 0.0000), H at (0.0000, 0.0000, 0.0000), O at (0.1938, 0.0622, 0.7245), O at (0.2302, 0.0697, 0.1069) and O at (0.3522, 0.6974, 0.4607).